# VCrBi2F | Alexandria | PBE with a Hubbard U | optimized geometry
data_VCrBi2F
_symmetry_space_group_name_H-M 'P 4/m m m'
_symmetry_Int_Tables_number 123
_symmetry_space_group_name_Hall '-P 4 2'
_cell_length_a 5.2251
_cell_length_b 5.2251
_cell_length_c 5.0066
_cell_angle_alpha 90.00
_cell_angle_beta 90.00
_cell_angle_gamma 90.00
loop_
_atom_site_label
_atom_site_type_symbol
_atom_site_fract_x
_atom_site_fract_y
_atom_site_fract_z
_atom_site_occupancy
V1 V 0.0000 0.0000 0.0000 1
Cr1 Cr 0.0000 0.0000 0.5000 1
Bi1 Bi 0.0000 0.5000 0.0000 1
F1 F 0.5000 0.5000 0.5000 1
# M_tot (Bohr magnetons per cell): 2.480
# D(E_F) (states/eV per atom): 0.350
# Electronic total energy (eV/atom): -4.443